# 1
PaTl2InTe5: relaxed, PBE.

The structure belongs to space group Cmc2_1 (No. 36); the cell edges are 4.471, 20.097 and 14.859 Å and the angles 90.00°, 90.00° and 90.00°. Symmetry generates all atoms from Pa at (0.000, 0.208, 0.000), Tl at (0.000, 0.116, 0.650), Tl at (0.000, 0.120, 0.302), In at (0.000, 0.439, 0.398), Te at (0.000, 0.053, 0.021), Te at (0.000, 0.292, 0.635), Te at (0.000, 0.297, 0.357), Te at (0.000, 0.351, 0.983) and Te at (0.000, 0.496, 0.738).

As for the magnetization: 0.48 μB per cell. The calculation puts the total DFT energy (no corrections) at -4.13 eV per atom. For the calculated volume, the calculation gives 334 Å³/f.u.

# 2
La2ReTeIr: relaxed, PBE.

The structure belongs to space group P4/mmm (No. 123); the cell edges are 5.494, 5.494 and 4.917 Å and the angles 90.00°, 90.00° and 90.00°. Symmetry generates all atoms from La at (0.000, 0.500, 0.000), Re at (0.000, 0.000, 0.000), Te at (0.000, 0.000, 0.500) and Ir at (0.500, 0.500, 0.500).

As for the magnetization: 0.00 μB per cell. For the calculated volume, the calculation gives 148 Å³/f.u. The energy relative to the lowest polymorph listed for this composition is 0.551 eV per atom.

# 3
V5Fe2Rh2: relaxed, PBE.

The structure belongs to space group Cmce (No. 64); the cell edges are 14.784, 5.708 and 5.737 Å and the angles 90.00°, 90.00° and 90.00°. Symmetry generates all atoms from V at (0.000, 0.000, 0.000), V at (0.131, 0.201, 0.299), Fe at (0.000, 0.134, 0.635) and Rh at (0.233, 0.000, 0.000).

As for the magnetization: 0.00 μB per cell. For the calculated volume, the calculation gives 121 Å³/f.u. The energy of formation comes out at -0.055 eV per atom.

# 4
LaScAg3: relaxed, PBE.

The structure belongs to space group Pm-3m (No. 221); the cell edges are 5.434, 5.434 and 5.434 Å and the angles 90.00°, 90.00° and 90.00°. Symmetry generates all atoms from La at (0.000, 0.000, 0.000), Sc at (0.500, 0.500, 0.500) and Ag at (0.000, 0.000, 0.500).

As for the magnetization: 0.00 μB per cell. For the calculated volume, the calculation gives 160 Å³/f.u. The energy of formation comes out at 0.872 eV per atom. The energy relative to the lowest polymorph listed for this composition is 0.624 eV per atom.

# 5
MgNb2MoPt: relaxed, PBE.

The structure belongs to space group P4/mmm (No. 123); the cell edges are 4.638, 4.638 and 4.512 Å and the angles 90.00°, 90.00° and 90.00°. Symmetry generates all atoms from Mg at (0.000, 0.000, 0.000), Nb at (0.000, 0.500, 0.000), Mo at (0.000, 0.000, 0.500) and Pt at (0.500, 0.500, 0.500).

As for the magnetization: 0.00 μB per cell. For the calculated volume, the calculation gives 97 Å³/f.u. The energy of formation comes out at 1.705 eV per atom.

# 6
KSiHgP2: relaxed, PBE.

The structure belongs to space group Cmme (No. 67); the cell edges are 5.982, 13.282 and 6.917 Å and the angles 90.00°, 90.00° and 90.00°. Symmetry generates all atoms from K at (0.000, 0.250, 0.218), Si at (0.250, 0.000, 0.000), Hg at (0.000, 0.000, 0.500) and P at (0.000, 0.093, 0.822).

As for the magnetization: 0.00 μB per cell. The calculation puts the total DFT energy (no corrections) at -3.70 eV per atom. For the calculated volume, the calculation gives 137 Å³/f.u.

# 7
CuHg4: relaxed, PBE.

The structure belongs to space group P-3m1 (No. 164); the cell edges are 3.3907, 3.3907 and 12.2203 Å and the angles 90.00°, 90.00° and 120.00°. Symmetry generates all atoms from Cu at (0.0000, 0.0000, 0.0000), Hg at (0.3333, 0.6667, 0.6062) and Hg at (0.3333, 0.6667, 0.8445).

As for the magnetization: 0.00 μB per cell. For the calculated volume, the calculation gives 122 Å³/f.u. The energy of formation comes out at 0.146 eV per atom.

# 8
RbCaMnCl6: relaxed, PBE.

The structure belongs to space group C2 (No. 5); the cell edges are 7.038, 11.355 and 7.282 Å and the angles 90.00°, 92.12° and 90.00°. Symmetry generates all atoms from Rb at (0.000, 0.000, 0.000), Ca at (0.000, 0.678, 0.500), Mn at (0.000, 0.331, 0.500), Cl at (0.129, 0.477, 0.687), Cl at (0.156, 0.191, 0.680) and Cl at (0.209, 0.818, 0.721).

As for the magnetization: 8.00 μB per cell. The calculation puts the total DFT energy (no corrections) at -4.25 eV per atom. For the calculated volume, the calculation gives 291 Å³/f.u.

# 9
BeCoHgI2: relaxed, PBE.

The structure belongs to space group P4/mmm (No. 123); the cell edges are 5.311, 5.311 and 4.237 Å and the angles 90.00°, 90.00° and 90.00°. Symmetry generates all atoms from Be at (0.000, 0.000, 0.000), Co at (0.000, 0.000, 0.500), Hg at (0.500, 0.500, 0.000) and I at (0.000, 0.500, 0.500).

As for the magnetization: 0.00 μB per cell. The calculation puts the total DFT energy (no corrections) at -2.38 eV per atom. For the calculated volume, the calculation gives 119 Å³/f.u.

# 10
Zr4Si3Ni2: relaxed, PBE.

The structure belongs to space group Cmce (No. 64); the cell edges are 8.016, 12.109 and 6.264 Å and the angles 90.00°, 90.00° and 90.00°. Symmetry generates all atoms from Zr at (0.000, 0.241, 0.004), Zr at (0.250, 0.091, 0.750), Si at (0.000, 0.000, 0.000), Si at (0.250, 0.154, 0.250) and Ni at (0.000, 0.063, 0.352).

As for the magnetization: 0.00 μB per cell. The calculation puts the total DFT energy (no corrections) at -7.47 eV per atom. For the calculated volume, the calculation gives 152 Å³/f.u.

# 11
PrNdCdPd: relaxed, PBE.

The structure belongs to space group F-43m (No. 216); the cell edges are 7.508, 7.508 and 7.508 Å and the angles 90.00°, 90.00° and 90.00°. Symmetry generates all atoms from Pr at (0.000, 0.000, 0.000), Nd at (0.000, 0.000, 0.500), Cd at (0.250, 0.250, 0.250) and Pd at (0.250, 0.250, 0.750).

As for the magnetization: 0.00 μB per cell. For the calculated volume, the calculation gives 106 Å³/f.u. The energy of formation comes out at -0.460 eV per atom.

# 12
Ba3SrZn: relaxed, PBE.

The structure belongs to space group Pm-3m (No. 221); the cell edges are 6.585, 6.585 and 6.585 Å and the angles 90.00°, 90.00° and 90.00°. Symmetry generates all atoms from Ba at (0.000, 0.000, 0.500), Sr at (0.500, 0.500, 0.500) and Zn at (0.000, 0.000, 0.000).

As for the magnetization: 0.00 μB per cell. For the calculated volume, the calculation gives 286 Å³/f.u. The energy of formation comes out at 0.013 eV per atom. The energy relative to the lowest polymorph listed for this composition is 0.047 eV per atom.

| no. | density of states at the Fermi level (states/eV/atom) |
| --- | --- |
| 1 | 0.01 |
| 2 | 1.36 |
| 3 | 0.99 |
| 4 | 1.34 |
| 5 | 1.21 |
| 6 | 0.50 |
| 7 | 0.49 |
| 8 | 0.01 |
| 9 | 0.59 |
| 10 | 0.70 |
| 11 | 0.88 |
| 12 | 1.16 |